No. 1
The following is a PBE calculation of a geometry-optimized NaFeHOs2 structure, from Alexandria.

Cell: 4.603 4.603 4.241 Å, 90.00 90.00 90.00°
Positions (direct):
Na (0.000, 0.000, 0.000)
Fe (0.000, 0.000, 0.500)
H (0.500, 0.500, 0.500)
Os (0.000, 0.500, 0.000)
Os (0.500, 0.000, 0.000)

Results
The value obtained for the density of states at the Fermi level is 7.9 states/eV/f.u. The value obtained for the total magnetization is 0.744 μB/atom. The value obtained for the volume is 17.98 Å³/atom. As for the energy: -3.472 eV per atom.

---

No. 2
The following is a PBE calculation of a geometry-optimized NaPmFeH6 structure, from Alexandria.

Cell: 4.744 4.744 4.177 Å, 90.00 90.00 120.00°
Positions (direct):
Na (0.000, 0.000, 0.000)
Pm (0.667, 0.333, 0.507)
Fe (0.333, 0.667, 0.245)
H (0.004, 0.502, 0.025)
H (0.176, 0.351, 0.466)
H (0.176, 0.824, 0.466)
H (0.498, 0.502, 0.025)
H (0.498, 0.996, 0.025)
H (0.649, 0.824, 0.466)

Results
The value obtained for the total magnetization is 0.000 μB/atom. The value obtained for the volume is 9.05 Å³/atom. As for the energy: -4.192 eV per atom.

---

No. 3
The following is a PBE calculation of a geometry-optimized Na2PrFeH8 structure, from Alexandria.

Cell: 4.740 4.740 6.220 Å, 90.00 90.00 120.00°
Positions (direct):
Na (0.333, 0.667, 0.370)
Na (0.667, 0.333, 0.630)
Pr (0.000, 0.000, 0.000)
Fe (0.000, 0.000, 0.500)
H (0.151, 0.303, 0.659)
H (0.151, 0.849, 0.659)
H (0.303, 0.151, 0.341)
H (0.333, 0.667, 0.014)
H (0.667, 0.333, 0.986)
H (0.697, 0.849, 0.659)
H (0.849, 0.151, 0.341)
H (0.849, 0.697, 0.341)

Results
The value obtained for the density of states at the Fermi level is 7.6 states/eV/f.u. The value obtained for the total magnetization is 0.081 μB/atom. The value obtained for the volume is 10.09 Å³/atom. As for the energy: -3.754 eV per atom.

---

No. 4
The following is a PBE calculation of a geometry-optimized NaPrFeH6 structure, from Alexandria.

Cell: 4.789 4.789 4.234 Å, 90.00 90.00 120.00°
Positions (direct):
Na (0.000, 0.000, 0.000)
Pr (0.333, 0.667, 0.494)
Fe (0.667, 0.333, 0.768)
H (0.354, 0.177, 0.548)
H (0.504, 0.007, 0.985)
H (0.504, 0.496, 0.985)
H (0.823, 0.177, 0.548)
H (0.823, 0.646, 0.548)
H (0.993, 0.496, 0.985)

Results
The value obtained for the total magnetization is 0.000 μB/atom. The value obtained for the volume is 9.34 Å³/atom. As for the energy: -4.189 eV per atom.

---

No. 5
The following is a PBE calculation of a geometry-optimized Na2SrFeH8 structure, from Alexandria.

Cell: 4.841 4.841 6.624 Å, 90.00 90.00 120.00°
Positions (direct):
Na (0.333, 0.667, 0.357)
Na (0.667, 0.333, 0.643)
Sr (0.000, 0.000, 0.000)
Fe (0.000, 0.000, 0.500)
H (0.151, 0.302, 0.645)
H (0.151, 0.849, 0.645)
H (0.302, 0.151, 0.355)
H (0.333, 0.667, 0.020)
H (0.667, 0.333, 0.980)
H (0.698, 0.849, 0.645)
H (0.849, 0.151, 0.355)
H (0.849, 0.698, 0.355)

Results
The value obtained for the density of states at the Fermi level is 8.1 states/eV/f.u. The value obtained for the total magnetization is 0.158 μB/atom. The value obtained for the volume is 11.20 Å³/atom. As for the energy: -3.391 eV per atom.

---

No. 6
The following is a PBE calculation of a geometry-optimized NaZnFe2H structure, from Alexandria.

Cell: 4.926 4.926 3.314 Å, 90.00 90.00 90.00°
Positions (direct):
Na (0.000, 0.000, 0.000)
Zn (0.500, 0.500, 0.500)
Fe (0.000, 0.500, 0.500)
Fe (0.500, 0.000, 0.500)
H (0.500, 0.500, 0.000)

Results
The value obtained for the density of states at the Fermi level is 2.7 states/eV/f.u. The value obtained for the total magnetization is 1.208 μB/atom. The value obtained for the volume is 16.09 Å³/atom. As for the energy: -3.528 eV per atom.

---

No. 7
The following is a PBE calculation of a geometry-optimized NaZn2FeH8 structure, from Alexandria.

Cell: 4.427 4.427 7.552 Å, 93.36 93.36 45.47°
Positions (direct):
Na (0.000, 0.000, 0.000)
Zn (0.297, 0.297, 0.681)
Zn (0.703, 0.703, 0.319)
Fe (0.000, 0.000, 0.500)
H (0.084, 0.084, 0.696)
H (0.166, 0.166, 0.399)
H (0.345, 0.345, 0.893)
H (0.474, 0.474, 0.435)
H (0.526, 0.526, 0.565)
H (0.655, 0.655, 0.107)
H (0.834, 0.834, 0.601)
H (0.916, 0.916, 0.304)

Results
The value obtained for the density of states at the Fermi level is 0.6 states/eV/f.u. The value obtained for the total magnetization is 0.000 μB/atom. The value obtained for the volume is 8.78 Å³/atom. As for the energy: -3.206 eV per atom.

---

No. 8
The following is a PBE calculation of a geometry-optimized Na2ZnFeH6 structure, from Alexandria.

Cell: 4.933 4.933 4.933 Å, 60.00 60.00 60.00°
Positions (direct):
Na (0.250, 0.250, 0.250)
Na (0.750, 0.750, 0.750)
Zn (0.000, 0.000, 0.000)
Fe (0.500, 0.500, 0.500)
H (0.265, 0.265, 0.735)
H (0.265, 0.735, 0.265)
H (0.265, 0.735, 0.735)
H (0.735, 0.265, 0.265)
H (0.735, 0.265, 0.735)
H (0.735, 0.735, 0.265)

Results
The value obtained for the density of states at the Fermi level is 5.7 states/eV/f.u. The value obtained for the total magnetization is 0.020 μB/atom. The value obtained for the volume is 8.49 Å³/atom. As for the energy: -3.294 eV per atom.

---

No. 9
The following is a PBE calculation of a geometry-optimized Nb2FeH2 structure, from Alexandria.

Cell: 6.016 6.016 2.861 Å, 90.00 90.00 90.00°
Positions (direct):
Nb (0.169, 0.331, 0.000)
Nb (0.331, 0.831, 0.000)
Nb (0.669, 0.169, 0.000)
Nb (0.831, 0.669, 0.000)
Fe (0.000, 0.000, 0.500)
Fe (0.500, 0.500, 0.500)
H (0.134, 0.634, 0.500)
H (0.366, 0.134, 0.500)
H (0.634, 0.866, 0.500)
H (0.866, 0.366, 0.500)

Results
The value obtained for the density of states at the Fermi level is 3.9 states/eV/f.u. The value obtained for the total magnetization is 0.195 μB/atom. The value obtained for the energy above the most stable polymorph in this dataset is 271 meV per atom. The value obtained for the volume is 10.36 Å³/atom.

---

No. 10
The following is a PBE calculation of a geometry-optimized NbFeH3 structure, from Alexandria.

Cell: 4.336 2.864 6.440 Å, 90.00 104.74 90.00°
Positions (direct):
Nb (0.194, 0.250, 0.364)
Nb (0.806, 0.750, 0.636)
Fe (0.392, 0.250, 0.819)
Fe (0.608, 0.750, 0.181)
H (0.009, 0.250, 0.837)
H (0.285, 0.750, 0.608)
H (0.384, 0.250, 0.091)
H (0.616, 0.750, 0.909)
H (0.715, 0.250, 0.392)
H (0.991, 0.750, 0.163)

Results
The value obtained for the density of states at the Fermi level is 2.4 states/eV/f.u. The value obtained for the total magnetization is 0.315 μB/atom. The value obtained for the volume is 7.73 Å³/atom. As for the energy: -5.754 eV per atom.

---

No. 11
The following is a PBE calculation of a geometry-optimized Nb2FeH2 structure, from Alexandria.

Cell: 6.214 6.214 6.214 Å, 151.84 151.84 40.24°
Positions (direct):
Nb (0.136, 0.136, 0.000)
Nb (0.864, 0.864, 0.000)
Fe (0.500, 0.500, 0.000)
H (0.250, 0.750, 0.500)
H (0.750, 0.250, 0.500)

Results
The value obtained for the density of states at the Fermi level is 3.1 states/eV/f.u. The value obtained for the total magnetization is 0.290 μB/atom. The value obtained for the energy above the most stable polymorph in this dataset is 0 meV per atom. The value obtained for the volume is 10.67 Å³/atom.

---

No. 12
The following is a PBE calculation of a geometry-optimized Nb2FeH structure, from Alexandria.

Cell: 5.137 5.137 5.137 Å, 111.34 111.34 105.80°
Positions (direct):
Nb (0.067, 0.125, 0.442)
Nb (0.375, 0.933, 0.058)
Nb (0.683, 0.625, 0.558)
Nb (0.875, 0.317, 0.942)
Fe (0.250, 0.750, 0.500)
Fe (0.500, 0.500, 0.000)
H (0.000, 0.000, 0.000)
H (0.750, 0.250, 0.500)

Results
The value obtained for the density of states at the Fermi level is 2.4 states/eV/f.u. The value obtained for the total magnetization is 0.000 μB/atom. The value obtained for the energy above the most stable polymorph in this dataset is 0 meV per atom. The value obtained for the volume is 13.00 Å³/atom.